# 1
Compound: ZnInSn3
Source: Alexandria via LeMat-Bulk
Functional: GGA-PBE
Structure: optimized geometry

Results
DOS(E_F): 4.1 states/eV/cell
Calculated formation energy: 0.32 eV/atom
Energy above the most stable polymorph in this dataset: 0 meV per atom
V: 147.7 Å³/cell

Cell lengths 5.2864, 5.2864, 5.2864 Å; angles 90.00, 90.00, 90.00 degrees
Positions (direct):
Sn  0.5000  0.0000  0.0000
Sn  0.0000  0.5000  0.0000
In  0.5000  0.5000  0.5000
Zn  0.0000  0.0000  0.0000
Sn  0.0000  0.0000  0.5000

***

# 2
Compound: SmGdInSn
Source: Alexandria via LeMat-Bulk
Functional: GGA-PBE
Structure: optimized geometry

Results
DOS(E_F): 3.1 states/eV/cell
Calculated formation energy: -0.54 eV/atom
V: 111.4 Å³/cell

Cell lengths 5.4017, 5.4017, 5.4017 Å; angles 60.00, 60.00, 60.00 degrees
Positions (direct):
Sn  0.2500  0.2500  0.2500
Gd  0.5000  0.5000  0.5000
Sm  0.0000  0.0000  0.0000
In  0.7500  0.7500  0.7500

***

Uncorrected energy / eV/atom: -2.88 -6.92